Record 1
Entry from Alexandria via LeMat-Bulk: a relaxed structure of BePb3 (PBE-GGA).

```
BePb3
1.0
6.301 4.629 -4.257
-7.610 -2.022 -4.153
-1.385 2.915 1.119
Be Pb
2 6
Cartesian
-3.319 0.924 -3.908
0.625 4.598 -3.383
0.081 3.222 -5.684
0.626 2.138 -2.187
3.246 4.063 -3.957
-2.776 2.300 -1.607
-3.320 3.385 -5.104
-5.940 1.460 -3.334
```

Summary:
DOS(E_F) ... 0.477 states/eV per atom
M_tot ... 0.000 μB per cell
DFT total energy ... -3.329 eV per atom

=====

Record 2
Entry from Alexandria via LeMat-Bulk: a relaxed structure of CaPCl2 (PBE-GGA).

```
CaPCl2
1.0
-3.076 -4.712 0.021
-0.449 -1.565 -5.387
3.552 0.752 4.300
Ca Cl P
1 2 1
Cartesian
0.670 -1.976 -1.885
-0.023 -0.041 -0.035
-1.740 -3.098 -2.648
-0.644 -3.549 0.819
```

Summary:
DOS(E_F) ... 0.250 states/eV per atom
M_tot ... 0.000 μB per cell
Uncorrected formation energy ... -738 meV per atom
DFT total energy ... -3.515 eV per atom

=====

Record 3
Entry from Alexandria via LeMat-Bulk: a relaxed structure of Li2TcCl (PBE-GGA).

```
Li2TcCl
1.0
4.765 0.000 0.000
0.000 4.765 0.000
0.000 0.000 2.822
Cl Li Tc
1 2 1
Cartesian
0.000 2.383 1.411
0.000 0.000 0.000
2.383 2.383 0.000
2.383 0.000 1.411
```

Summary:
DOS(E_F) ... 0.769 states/eV per atom
M_tot ... 1.602 μB per cell
Uncorrected formation energy ... 299 meV per atom
DFT total energy ... -3.711 eV per atom

=====

Record 4
Entry from Alexandria via LeMat-Bulk: a relaxed structure of HoRuPbO6 (PBE-GGA).

```
HoRuPbO6
1.0
5.537 0.000 0.000
2.768 4.795 0.000
0.000 0.000 4.861
Ho Ru Pb O
1 1 1 6
Cartesian
5.537 3.197 2.430
2.768 1.598 2.431
5.537 0.000 4.861
1.176 1.666 1.329
2.031 0.186 3.532
4.360 1.666 3.532
1.913 2.943 3.532
3.623 2.943 1.329
3.506 0.186 1.329
```

Summary:
DOS(E_F) ... 0.447 states/eV per atom
M_tot ... 0.741 μB per cell
Uncorrected formation energy ... -1540 meV per atom
DFT total energy ... -6.797 eV per atom